Entry from Alexandria via LeMat-Bulk: an optimized crystal structure of MgSiPb2 (PBE-GGA).

Lattice parameters (Å, degrees): 4.8323 4.8337 4.2945 90.00 90.00 90.00
Last column: nearest neighbours and their distance in Å.
Positions (direct):
Si 0.5000 0.0000 0.5000  8 Pb 3.23, 4 Mg 3.42
Pb 0.0000 0.0000 0.0000  4 Si 3.23, 4 Mg 3.23, 4 Pb 3.42
Pb 0.5000 0.5000 0.0000  4 Mg 3.23, 4 Si 3.23, 4 Pb 3.42
Mg 0.0000 0.5000 0.5000  8 Pb 3.23, 4 Si 3.42

## Properties
**Uncorrected formation energy**: 1.031 eV per formula unit
**Energy**: -13.40 eV/cell
**Polymorph energy (0 for the lowest one)**: 0.115 eV per atom
**ρ**: 7.7 g cm⁻³
**DOS at the Fermi energy**: 0.648 states/eV/atom

---

Entry from Alexandria via LeMat-Bulk: an optimized crystal structure of MgSi2Pb (PBE-GGA).

Lattice parameters (Å, degrees): 3.7750 3.1211 7.5371 75.88 90.00 90.00
Last column: nearest neighbours and their distance in Å.
Positions (direct):
Pb 0.5000 0.7913 0.7527  2 Pb 3.12, 4 Si 3.19-3.37, 4 Mg 3.32-3.36
Si 0.5000 0.0718 0.2548  2 Si 2.41
Si 0.0000 0.1744 0.0506  2 Si 2.41
Mg 0.0000 0.4626 0.4420  4 Si 2.80-2.81, 2 Mg 3.12

## Properties
**Uncorrected formation energy**: 0.999 eV per formula unit
**Energy**: -15.15 eV/cell
**Polymorph energy (0 for the lowest one)**: 0.027 eV per atom
**ρ**: 5.5 g cm⁻³
**DOS at the Fermi energy**: 0.310 states/eV/atom

---

Entry from Alexandria via LeMat-Bulk: an optimized crystal structure of Mg2SiPb (PBE-GGA).

Lattice parameters (Å, degrees): 8.9605 8.9605 8.9605 22.39 22.39 22.39
Last column: nearest neighbours and their distance in Å.
Positions (direct):
Si 0.7500 0.7500 0.7500  6 Mg 2.74
Mg 0.4878 0.4878 0.4878  3 Si 2.74
Mg 0.0122 0.0122 0.0122  3 Si 2.74
Pb 0.2500 0.2500 0.2500  6 Mg 3.21, 6 Pb 3.48

## Properties
**Uncorrected formation energy**: 0.327 eV per formula unit
**Energy**: -11.99 eV/cell
**Polymorph energy (0 for the lowest one)**: 0.017 eV per atom
**ρ**: 5.1 g cm⁻³
**DOS at the Fermi energy**: 0.312 states/eV/atom